No. 1
Density functional theory data (PBE) for an optimized crystal structure of Cd2MoAu.

a = 10.165 Å, b = 10.165 Å, c = 10.165 Å
α = 16.66°, β = 16.66°, γ = 16.66°
Atoms (fractional coordinates):
Au 0.755 0.755 0.755
Mo 0.497 0.497 0.497
Cd 0.004 0.004 0.004
Cd 0.245 0.245 0.245

SG = No. 160
formation energy from the elements = 0.241 eV/atom
ρ = 11.4 g/cm³
density of states at the Fermi level = 2.499 states/eV/cell
size of the total moment = 0.001 μB per formula unit
energy relative to the lowest polymorph listed for this composition = 0.057 eV per atom

No. 2
Density functional theory data (PBE) for an optimized crystal structure of CdMoAu2.

a = 4.123 Å, b = 2.829 Å, c = 6.787 Å
α = 65.31°, β = 90.00°, γ = 90.00°
Atoms (fractional coordinates):
Cd 0.500 0.250 0.250
Au 0.000 0.483 0.517
Au 0.000 0.017 0.983
Mo 0.500 0.750 0.750

SG = No. 47
formation energy from the elements = 0.202 eV/atom
ρ = 13.9 g/cm³
density of states at the Fermi level = 2.745 states/eV/cell
size of the total moment = 0.385 μB per formula unit

No. 3
Density functional theory data (PBE) for an optimized crystal structure of Cd2MoAu.

a = 5.199 Å, b = 5.199 Å, c = 5.409 Å
α = 79.89°, β = 79.89°, γ = 31.47°
Atoms (fractional coordinates):
Mo 0.503 0.503 0.490
Cd 0.997 0.997 0.998
Cd 0.754 0.754 0.743
Au 0.246 0.246 0.269

SG = No. 8
formation energy from the elements = 0.317 eV/atom
ρ = 11.5 g/cm³
density of states at the Fermi level = 2.997 states/eV/cell
size of the total moment = 0.406 μB per formula unit
energy relative to the lowest polymorph listed for this composition = 0.133 eV per atom

No. 4
Density functional theory data (PBE) for an optimized crystal structure of CdMoAu2.

a = 5.028 Å, b = 5.028 Å, c = 5.028 Å
α = 130.02°, β = 130.02°, γ = 73.38°
Atoms (fractional coordinates):
Cd 0.500 0.500 0.000
Au 0.000 0.000 0.000
Mo 0.750 0.250 0.500
Au 0.250 0.750 0.500

SG = No. 119
formation energy from the elements = 0.361 eV/atom
ρ = 13.7 g/cm³
density of states at the Fermi level = 2.686 states/eV/cell
size of the total moment = 2.065 μB per formula unit

No. 5
Density functional theory data (PBE) for an optimized crystal structure of CdMo2Au2.

a = 4.127 Å, b = 4.127 Å, c = 6.541 Å
α = 71.61°, β = 71.61°, γ = 90.00°
Atoms (fractional coordinates):
Au 0.250 0.750 0.500
Cd 0.000 0.000 0.000
Au 0.750 0.250 0.500
Mo 0.593 0.593 0.813
Mo 0.407 0.407 0.187

SG = No. 139
formation energy from the elements = 0.539 eV/atom
ρ = 11.6 g/cm³
density of states at the Fermi level = 1.480 states/eV/cell
size of the total moment = 0.000 μB per formula unit
energy relative to the lowest polymorph listed for this composition = 0.077 eV per atom

No. 6
Density functional theory data (PBE) for an optimized crystal structure of CdMoAu2.

a = 2.857 Å, b = 2.857 Å, c = 8.756 Å
α = 90.00°, β = 90.00°, γ = 90.00°
Atoms (fractional coordinates):
Mo 0.500 0.500 0.758
Au 0.500 0.500 0.246
Au 0.000 0.000 0.989
Cd 0.000 0.000 0.506

SG = No. 99
formation energy from the elements = 0.156 eV/atom
ρ = 14.0 g/cm³
density of states at the Fermi level = 1.344 states/eV/cell
size of the total moment = 0.000 μB per formula unit

No. 7
Density functional theory data (PBE) for an optimized crystal structure of Cd2MoAu.

a = 2.872 Å, b = 4.264 Å, c = 6.074 Å
α = 90.00°, β = 90.00°, γ = 90.00°
Atoms (fractional coordinates):
Mo 0.000 0.000 0.508
Au 0.500 0.500 0.735
Cd 0.500 0.500 0.261
Cd 0.000 0.000 0.996

SG = No. 25
formation energy from the elements = 0.304 eV/atom
ρ = 11.6 g/cm³
density of states at the Fermi level = 2.628 states/eV/cell
size of the total moment = 0.000 μB per formula unit
energy relative to the lowest polymorph listed for this composition = 0.121 eV per atom

No. 8
Density functional theory data (PBE) for an optimized crystal structure of Cd2MoAu.

a = 4.750 Å, b = 4.750 Å, c = 4.750 Å
α = 60.00°, β = 60.00°, γ = 60.00°
Atoms (fractional coordinates):
Au 0.500 0.500 0.500
Mo 0.000 0.000 0.000
Cd 0.750 0.750 0.750
Cd 0.250 0.250 0.250

SG = No. 225
formation energy from the elements = 0.434 eV/atom
ρ = 11.3 g/cm³
density of states at the Fermi level = 1.570 states/eV/cell
size of the total moment = 2.347 μB per formula unit
energy relative to the lowest polymorph listed for this composition = 0.251 eV per atom

No. 9
Density functional theory data (PBE) for an optimized crystal structure of CdMoAu2.

a = 4.887 Å, b = 4.887 Å, c = 5.563 Å
α = 83.35°, β = 83.35°, γ = 33.39°
Atoms (fractional coordinates):
Au 0.504 0.504 0.484
Au 0.996 0.996 0.016
Mo 0.250 0.250 0.250
Cd 0.750 0.750 0.750

SG = No. 12
formation energy from the elements = 0.270 eV/atom
ρ = 13.8 g/cm³
density of states at the Fermi level = 2.616 states/eV/cell
size of the total moment = 0.000 μB per formula unit

No. 10
Density functional theory data (PBE) for an optimized crystal structure of Cd2MoAu.

a = 2.862 Å, b = 2.862 Å, c = 8.987 Å
α = 90.00°, β = 90.00°, γ = 90.00°
Atoms (fractional coordinates):
Cd 0.000 0.000 0.497
Au 0.500 0.500 0.750
Mo 0.500 0.500 0.250
Cd 0.000 0.000 0.003

SG = No. 123
formation energy from the elements = 0.183 eV/atom
ρ = 11.7 g/cm³
density of states at the Fermi level = 1.517 states/eV/cell
size of the total moment = 0.000 μB per formula unit
energy relative to the lowest polymorph listed for this composition = 0.000 eV per atom

No. 11
Density functional theory data (PBE) for an optimized crystal structure of CdMoAu.

a = 6.970 Å, b = 6.969 Å, c = 2.827 Å
α = 78.31°, β = 78.29°, γ = 23.40°
Atoms (fractional coordinates):
Au 0.007 0.007 0.993
Mo 0.662 0.662 0.338
Cd 0.331 0.331 0.669

SG = No. 107
formation energy from the elements = 0.231 eV/atom
ρ = 12.6 g/cm³
density of states at the Fermi level = 1.287 states/eV/cell
size of the total moment = 0.000 μB per formula unit
energy relative to the lowest polymorph listed for this composition = 0.000 eV per atom

No. 12
Density functional theory data (PBE) for an optimized crystal structure of CdMoAu2.

a = 4.023 Å, b = 4.023 Å, c = 10.169 Å
α = 78.59°, β = 78.59°, γ = 90.00°
Atoms (fractional coordinates):
Au 0.129 0.625 0.250
Cd 0.000 0.000 0.000
Au 0.375 0.379 0.750
Mo 0.250 0.750 0.500
Au 0.621 0.125 0.250
Au 0.875 0.871 0.750
Mo 0.500 0.500 0.000
Cd 0.750 0.250 0.500

SG = No. 122
formation energy from the elements = 0.676 eV/atom
ρ = 12.7 g/cm³
density of states at the Fermi level = 7.799 states/eV/cell
size of the total moment = 1.449 μB per formula unit